# Tl7Sb2Pb2, relaxed, DFT PBE
data_Tl7Sb2Pb2
_chemical_formula_sum 'Tl14 Sb4 Pb4'
_cell_length_a 6.7653
_cell_length_b 11.6182
_cell_length_c 9.1825
_cell_angle_alpha 90.00
_cell_angle_beta 91.33
_cell_angle_gamma 90.00
_symmetry_space_group_name_H-M 'C 1 2/m 1'
_symmetry_Int_Tables_number 12
_symmetry_space_group_name_Hall '-C 2y'
loop_
_atom_site_label
_atom_site_type_symbol
_atom_site_fract_x
_atom_site_fract_y
_atom_site_fract_z
_atom_site_occupancy
Tl1 Tl 0.0000 0.0000 0.0000 1
Tl2 Tl 0.2414 0.2535 0.1799 1
Tl3 Tl 0.2471 0.5000 0.4899 1
Sb1 Sb 0.0069 0.5000 0.8440 1
Pb1 Pb 0.0000 0.2469 0.5000 1
# spin magnetization = 0.0 μB/f.u.
# formation energy without anion corrections = 0.6 eV per formula unit
# ΔE to the lowest computed polymorph = 0.030 eV/atom
# DFT total energy = -63.24 eV per cell

***

# Tl2Sb3Pb5, relaxed, DFT PBE
data_Tl2Sb3Pb5
_chemical_formula_sum 'Tl8 Sb12 Pb20'
_cell_length_a 5.4455
_cell_length_b 34.3597
_cell_length_c 6.9153
_cell_angle_alpha 90.00
_cell_angle_beta 90.00
_cell_angle_gamma 90.00
_symmetry_space_group_name_H-M 'C m c 21'
_symmetry_Int_Tables_number 36
_symmetry_space_group_name_Hall 'C 2c -2'
loop_
_atom_site_label
_atom_site_type_symbol
_atom_site_fract_x
_atom_site_fract_y
_atom_site_fract_z
_atom_site_occupancy
Tl1 Tl 0.0000 0.0088 0.0000 1
Tl2 Tl 0.0000 0.3454 0.9679 1
Sb1 Sb 0.0000 0.1044 0.2026 1
Sb2 Sb 0.0000 0.2793 0.5259 1
Sb3 Sb 0.0000 0.4552 0.2229 1
Pb1 Pb 0.0000 0.0954 0.6673 1
Pb2 Pb 0.0000 0.1975 0.7624 1
Pb3 Pb 0.0000 0.2013 0.2559 1
Pb4 Pb 0.0000 0.3704 0.4578 1
Pb5 Pb 0.0000 0.4497 0.7722 1
# spin magnetization = 0.0 μB/f.u.
# formation energy without anion corrections = 0.3 eV per formula unit
# DFT total energy = -141.49 eV per cell

***

# Tl8Sb2Pb, relaxed, DFT PBE
data_Tl8Sb2Pb
_chemical_formula_sum 'Tl16 Sb4 Pb2'
_cell_length_a 5.3269
_cell_length_b 8.0029
_cell_length_c 16.5945
_cell_angle_alpha 90.00
_cell_angle_beta 90.00
_cell_angle_gamma 90.00
_symmetry_space_group_name_H-M 'I m m m'
_symmetry_Int_Tables_number 71
_symmetry_space_group_name_Hall '-I 2 2'
loop_
_atom_site_label
_atom_site_type_symbol
_atom_site_fract_x
_atom_site_fract_y
_atom_site_fract_z
_atom_site_occupancy
Tl1 Tl 0.0000 0.0000 0.1640 1
Tl2 Tl 0.0000 0.2284 0.3461 1
Tl3 Tl 0.0000 0.2888 0.0000 1
Sb1 Sb 0.0000 0.5000 0.1903 1
Pb1 Pb 0.0000 0.5000 0.5000 1
# spin magnetization = 0.0 μB/f.u.
# formation energy without anion corrections = 0.1 eV per formula unit
# ΔE to the lowest computed polymorph = 0.000 eV/atom
# DFT total energy = -61.63 eV per cell

***

# TlSbPb3, relaxed, DFT PBE
data_TlSbPb3
_chemical_formula_sum 'Tl4 Sb4 Pb12'
_cell_length_a 8.8405
_cell_length_b 6.7987
_cell_length_c 10.9567
_cell_angle_alpha 90.00
_cell_angle_beta 108.89
_cell_angle_gamma 90.00
_symmetry_space_group_name_H-M 'P 1 21/c 1'
_symmetry_Int_Tables_number 14
_symmetry_space_group_name_Hall '-P 2ybc'
loop_
_atom_site_label
_atom_site_type_symbol
_atom_site_fract_x
_atom_site_fract_y
_atom_site_fract_z
_atom_site_occupancy
Tl1 Tl 0.1969 0.0107 0.2954 1
Sb1 Sb 0.3883 0.7484 0.5939 1
Pb1 Pb 0.0084 0.7495 0.0034 1
Pb2 Pb 0.2204 0.5109 0.3142 1
Pb3 Pb 0.4098 0.2309 0.6032 1
# spin magnetization = 0.0 μB/f.u.
# formation energy without anion corrections = 0.1 eV per formula unit
# ΔE to the lowest computed polymorph = 0.000 eV/atom
# DFT total energy = -70.00 eV per cell

***

# Tl3Sb2Pb9, relaxed, DFT PBE
data_Tl3Sb2Pb9
_chemical_formula_sum 'Tl6 Sb4 Pb18'
_cell_length_a 5.4836
_cell_length_b 12.7214
_cell_length_c 13.0346
_cell_angle_alpha 90.00
_cell_angle_beta 90.00
_cell_angle_gamma 90.00
_symmetry_space_group_name_H-M 'I m m m'
_symmetry_Int_Tables_number 71
_symmetry_space_group_name_Hall '-I 2 2'
loop_
_atom_site_label
_atom_site_type_symbol
_atom_site_fract_x
_atom_site_fract_y
_atom_site_fract_z
_atom_site_occupancy
Tl1 Tl 0.0000 0.0000 0.0000 1
Tl2 Tl 0.0000 0.2886 0.0000 1
Sb1 Sb 0.0000 0.5000 0.1572 1
Pb1 Pb 0.0000 0.0000 0.5000 1
Pb2 Pb 0.0000 0.1401 0.2689 1
Pb3 Pb 0.0000 0.3686 0.3749 1
# spin magnetization = 0.0 μB/f.u.
# formation energy without anion corrections = 0.6 eV per formula unit
# DFT total energy = -96.16 eV per cell

***

# Tl2Sb2Pb5, relaxed, DFT PBE
data_Tl2Sb2Pb5
_chemical_formula_sum 'Tl8 Sb8 Pb20'
_cell_length_a 17.6529
_cell_length_b 7.7644
_cell_length_c 8.9930
_cell_angle_alpha 90.00
_cell_angle_beta 90.00
_cell_angle_gamma 90.00
_symmetry_space_group_name_H-M 'I m a 2'
_symmetry_Int_Tables_number 46
_symmetry_space_group_name_Hall 'I 2 -2a'
loop_
_atom_site_label
_atom_site_type_symbol
_atom_site_fract_x
_atom_site_fract_y
_atom_site_fract_z
_atom_site_occupancy
Tl1 Tl 0.0767 0.1074 0.0000 1
Sb1 Sb 0.0000 0.0000 0.5298 1
Sb2 Sb 0.2500 0.6743 0.9683 1
Pb1 Pb 0.0877 0.6881 0.7714 1
Pb2 Pb 0.1552 0.0764 0.6825 1
Pb3 Pb 0.2500 0.0243 0.1594 1
# spin magnetization = 0.0 μB/f.u.
# formation energy without anion corrections = 0.9 eV per formula unit
# ΔE to the lowest computed polymorph = 0.041 eV/atom
# DFT total energy = -122.57 eV per cell

***

# Tl2Sb3Pb3, relaxed, DFT PBE
data_Tl2Sb3Pb3
_chemical_formula_sum 'Tl2 Sb3 Pb3'
_cell_length_a 8.9032
_cell_length_b 8.9032
_cell_length_c 3.7317
_cell_angle_alpha 90.00
_cell_angle_beta 90.00
_cell_angle_gamma 120.00
_symmetry_space_group_name_H-M 'P -6 2 m'
_symmetry_Int_Tables_number 189
_symmetry_space_group_name_Hall 'P -6 -2'
loop_
_atom_site_label
_atom_site_type_symbol
_atom_site_fract_x
_atom_site_fract_y
_atom_site_fract_z
_atom_site_occupancy
Tl1 Tl 0.3333 0.6667 0.0000 1
Sb1 Sb 0.0000 0.3486 0.5000 1
Pb1 Pb 0.0000 0.7790 0.0000 1
# spin magnetization = 0.0 μB/f.u.
# formation energy without anion corrections = 0.6 eV per formula unit
# DFT total energy = -27.59 eV per cell

***

# TlSb3Pb5, relaxed, DFT PBE
data_TlSb3Pb5
_chemical_formula_sum 'Tl2 Sb6 Pb10'
_cell_length_a 9.7864
_cell_length_b 9.7864
_cell_length_c 6.7112
_cell_angle_alpha 90.00
_cell_angle_beta 90.00
_cell_angle_gamma 120.00
_symmetry_space_group_name_H-M 'P 63/m c m'
_symmetry_Int_Tables_number 193
_symmetry_space_group_name_Hall '-P 6c 2'
loop_
_atom_site_label
_atom_site_type_symbol
_atom_site_fract_x
_atom_site_fract_y
_atom_site_fract_z
_atom_site_occupancy
Tl1 Tl 0.0000 0.0000 0.0000 1
Sb1 Sb 0.0000 0.3437 0.2500 1
Pb1 Pb 0.0000 0.3306 0.7500 1
Pb2 Pb 0.3333 0.6667 0.0000 1
# spin magnetization = 0.0 μB/f.u.
# formation energy without anion corrections = 0.1 eV per formula unit
# DFT total energy = -66.45 eV per cell

***

What did the seventh record say?
# Tl2Sb3Pb3, relaxed, DFT PBE
data_Tl2Sb3Pb3
_chemical_formula_sum 'Tl2 Sb3 Pb3'
_cell_length_a 8.9032
_cell_length_b 8.9032
_cell_length_c 3.7317
_cell_angle_alpha 90.00
_cell_angle_beta 90.00
_cell_angle_gamma 120.00
_symmetry_space_group_name_H-M 'P -6 2 m'
_symmetry_Int_Tables_number 189
_symmetry_space_group_name_Hall 'P -6 -2'
loop_
_atom_site_label
_atom_site_type_symbol
_atom_site_fract_x
_atom_site_fract_y
_atom_site_fract_z
_atom_site_occupancy
Tl1 Tl 0.3333 0.6667 0.0000 1
Sb1 Sb 0.0000 0.3486 0.5000 1
Pb1 Pb 0.0000 0.7790 0.0000 1
# spin magnetization = 0.0 μB/f.u.
# formation energy without anion corrections = 0.6 eV per formula unit
# DFT total energy = -27.59 eV per cell

***

Question: spin magnetization of number 4 (TlSbPb3)?
Answer: 0.0 μB/f.u.

***

Please write out number 1 again, unchanged.
# Tl7Sb2Pb2, relaxed, DFT PBE
data_Tl7Sb2Pb2
_chemical_formula_sum 'Tl14 Sb4 Pb4'
_cell_length_a 6.7653
_cell_length_b 11.6182
_cell_length_c 9.1825
_cell_angle_alpha 90.00
_cell_angle_beta 91.33
_cell_angle_gamma 90.00
_symmetry_space_group_name_H-M 'C 1 2/m 1'
_symmetry_Int_Tables_number 12
_symmetry_space_group_name_Hall '-C 2y'
loop_
_atom_site_label
_atom_site_type_symbol
_atom_site_fract_x
_atom_site_fract_y
_atom_site_fract_z
_atom_site_occupancy
Tl1 Tl 0.0000 0.0000 0.0000 1
Tl2 Tl 0.2414 0.2535 0.1799 1
Tl3 Tl 0.2471 0.5000 0.4899 1
Sb1 Sb 0.0069 0.5000 0.8440 1
Pb1 Pb 0.0000 0.2469 0.5000 1
# spin magnetization = 0.0 μB/f.u.
# formation energy without anion corrections = 0.6 eV per formula unit
# ΔE to the lowest computed polymorph = 0.030 eV/atom
# DFT total energy = -63.24 eV per cell